Here is crystalline MgBeZnGe at its relaxed geometry from OQMD. Energies are from PBE.

The structure belongs to space group F-43m (No. 216); the cell edges are 6.3606, 6.3606 and 6.3606 Å and the angles 90.00°, 90.00° and 90.00°. The distinct sites, in fractional coordinates, are Mg at (0.0000, 0.0000, 0.0000), Be at (0.2500, 0.2500, 0.7500), Zn at (0.0000, 0.0000, 0.5000) and Ge at (0.2500, 0.2500, 0.2500).


Here is crystalline Ta4ZnNiN2 at its relaxed geometry from OQMD. Energies are from PBE.

For the total magnetization, the calculation gives 0.01 μB per formula unit.

The structure belongs to space group P-6m2 (No. 187); the cell edges are 3.0929, 3.0929 and 13.1728 Å and the angles 90.00°, 90.00° and 120.00°. The distinct sites, in fractional coordinates, are Ta at (0.0000, 0.0000, 0.1480), Ta at (0.3333, 0.6667, 0.3341), Zn at (0.0000, 0.0000, 0.5000), Ni at (0.3333, 0.6667, 0.0000) and N at (0.6667, 0.3333, 0.2412).


Here is crystalline Tb4InIr at its relaxed geometry from OQMD. Energies are from PBE.

For the total magnetization, the calculation gives 0.00 μB per formula unit.

The structure belongs to space group F-43m (No. 216); the cell edges are 13.7163, 13.7163 and 13.7163 Å and the angles 90.00°, 90.00° and 90.00°. The distinct sites, in fractional coordinates, are Tb at (0.0000, 0.0000, 0.1898), Tb at (0.0589, 0.2500, 0.7500), Tb at (0.0991, 0.0991, 0.4009), In at (0.1674, 0.1674, 0.1674) and Ir at (0.1086, 0.1086, 0.6086).


Here is crystalline Ba2YTcN6 at its relaxed geometry from OQMD. Energies are from PBE.

For the total magnetization, the calculation gives 3.99 μB per formula unit.

The structure belongs to space group I4/mmm (No. 139); the cell edges are 6.0590, 6.0590 and 8.5871 Å and the angles 90.00°, 90.00° and 90.00°. The distinct sites, in fractional coordinates, are Ba at (0.0000, 0.5000, 0.2500), Y at (0.0000, 0.0000, 0.0000), Tc at (0.0000, 0.0000, 0.5000), N at (0.0000, 0.0000, 0.2693) and N at (0.2301, 0.2301, 0.5000).


Here is crystalline BaSrSi2Pd at its relaxed geometry from OQMD. Energies are from PBE.

The structure belongs to space group I4mm (No. 107); the cell edges are 4.8661, 4.8661 and 10.8850 Å and the angles 90.00°, 90.00° and 90.00°. The distinct sites, in fractional coordinates, are Ba at (0.0000, 0.0000, 0.0000), Sr at (0.0000, 0.0000, 0.3946), Si at (0.0000, 0.5000, 0.2175) and Pd at (0.0000, 0.0000, 0.6669).


Here is crystalline NaAuNO at its relaxed geometry from OQMD. Energies are from PBE.

The structure belongs to space group P4/nmm (No. 129, origin choice 2); the cell edges are 4.5015, 4.5015 and 4.5757 Å and the angles 90.00°, 90.00° and 90.00°. The distinct sites, in fractional coordinates, are Na at (0.2500, 0.2500, 0.0010), Au at (0.2500, 0.7500, 0.5000), N at (0.2500, 0.2500, 0.5012) and O at (0.2500, 0.7500, 0.0000).


| no. | calculated density (g/cm³) | VASP energy (eV/f.u.) |
| --- | --- | --- |
| 1 | 4.4 | -9.86 |
| 2 | 13.3 | -75.04 |
| 3 | 9.7 | -33.57 |
| 4 | 5.7 | -70.95 |
| 5 | 5.0 | -21.05 |
| 6 | 9.0 | -15.98 |